i:
DFT (PBE) results for an optimized crystal structure of Ta2ReHRu.

Unit cell a=4.402 b=4.402 c=3.485 alpha=90.00 beta=90.00 gamma=90.00
Fractional coordinates of all 5 atoms:
Ta  0.000  0.500  0.000
Ta  0.500  0.000  0.000
Re  0.000  0.000  0.500
H  0.500  0.500  0.000
Ru  0.500  0.500  0.500

magnetic moment: 0.000 Bohr magnetons per cell
D(E_F): 0.612 states/eV per atom

=====

ii:
DFT (PBE) results for an optimized crystal structure of Ta2ReHRu.

Unit cell a=4.351 b=4.351 c=3.582 alpha=90.00 beta=90.00 gamma=90.00
Fractional coordinates of all 5 atoms:
Ta  0.000  0.500  0.000
Ta  0.500  0.000  0.000
Re  0.000  0.000  0.500
H  0.000  0.000  0.000
Ru  0.500  0.500  0.500

magnetic moment: 0.000 Bohr magnetons per cell
D(E_F): 0.831 states/eV per atom

=====

From most stable to least stable, the computed energies give i, ii.

=====

i:
DFT (PBE) results for an optimized crystal structure of TaRe2HRu.

Unit cell a=3.958 b=3.958 c=4.076 alpha=90.00 beta=90.00 gamma=90.00
Fractional coordinates of all 5 atoms:
Ta  0.000  0.000  0.000
Re  0.000  0.500  0.500
Re  0.500  0.000  0.500
H  0.000  0.000  0.500
Ru  0.500  0.500  0.000

magnetic moment: 0.000 Bohr magnetons per cell
D(E_F): 0.724 states/eV per atom

=====

ii:
DFT (PBE) results for an optimized crystal structure of TaRe2HRu.

Unit cell a=3.992 b=3.992 c=4.005 alpha=90.00 beta=90.00 gamma=90.00
Fractional coordinates of all 5 atoms:
Ta  0.000  0.000  0.000
Re  0.000  0.500  0.500
Re  0.500  0.000  0.500
H  0.500  0.500  0.500
Ru  0.500  0.500  0.000

magnetic moment: 0.000 Bohr magnetons per cell
D(E_F): 0.882 states/eV per atom

=====

From most stable to least stable, the computed energies give ii, i.